No. 1
ZnAgTeO (PBE-GGA, relaxed); VASP energy = -3.279 eV/atom; space-group type = No. 61
1.0
-6.658 -0.649 0.926
-0.863 -5.945 -10.367
1.187 -6.771 3.784
Zn O Ag Te
8 8 8 8
direct
0.277 0.605 0.993
0.223 0.105 0.993
0.723 0.105 0.507
0.223 0.395 0.493
0.777 0.895 0.007
0.777 0.605 0.507
0.723 0.395 0.007
0.277 0.895 0.493
0.239 0.248 0.580
0.739 0.252 0.420
0.261 0.752 0.080
0.761 0.748 0.920
0.739 0.248 0.920
0.761 0.752 0.420
0.239 0.252 0.080
0.261 0.748 0.580
0.481 0.254 0.257
0.981 0.254 0.243
0.019 0.746 0.757
0.519 0.746 0.743
0.481 0.246 0.757
0.519 0.754 0.243
0.981 0.246 0.743
0.019 0.754 0.257
0.041 0.000 0.743
0.959 0.000 0.257
0.541 0.500 0.257
0.041 0.500 0.243
0.959 0.500 0.757
0.459 0.000 0.243
0.459 0.500 0.743
0.541 0.000 0.757

---

No. 2
YGaFeCo (PBE-GGA, relaxed); VASP energy = -6.256 eV/atom; space-group type = No. 216
1.0
0.000 3.111 3.111
3.111 0.000 3.111
3.111 3.111 0.000
Y Co Fe Ga
1 1 1 1
direct
0.500 0.500 0.500
0.750 0.750 0.750
0.250 0.250 0.250
0.000 0.000 0.000

---

No. 3
Pr3Cu4Si2Ge2 (PBE-GGA, relaxed); VASP energy = -5.078 eV/atom; space-group type = No. 71
1.0
-3.497 -11.931 0.124
-0.439 -11.291 5.186
-0.548 12.357 -1.257
Pr Cu Si Ge
3 4 2 2
direct
0.350 0.850 0.500
0.500 0.500 0.000
0.650 0.150 0.500
0.094 0.594 0.500
0.750 0.750 0.000
0.906 0.406 0.500
0.250 0.250 0.000
0.950 0.950 0.000
0.050 0.050 0.000
0.806 0.306 0.500
0.194 0.694 0.500